No. 1
This record from Alexandria describes an optimized crystal structure of Sc2Pb. The functional is PBEsol.

Output
Density of states at the Fermi level: 9.45 states/eV per cell
Calculated total energy: -6.1774 eV per atom
Formation energy from the elements: -0.441 eV/atom

Unit cell a=6.260 b=4.593 c=9.538 alpha=90.00 beta=90.00 gamma=90.00
Space group Pnma (No. 62)
Unique sites:
Sc  0.086  0.250  0.211 (multiplicity 4)
Sc  0.157  0.250  0.547 (multiplicity 4)
Pb  0.184  0.250  0.873 (multiplicity 4)

No. 2
This record from Alexandria describes an optimized crystal structure of Sc2Pb. The functional is PBEsol.

Output
Density of states at the Fermi level: 7.34 states/eV per cell
Calculated total energy: -6.1479 eV per atom
Formation energy from the elements: -0.412 eV/atom

Unit cell a=5.0414 b=5.0414 c=6.1532 alpha=90.00 beta=90.00 gamma=120.00
Space group P6_3/mmc (No. 194)
Unique sites:
Sc  0.0000  0.0000  0.0000 (multiplicity 2)
Sc  0.3333  0.6667  0.2500 (multiplicity 2)
Pb  0.3333  0.6667  0.7500 (multiplicity 2)

No. 3
This record from Alexandria describes an optimized crystal structure of ScPb8. The functional is PBEsol.

Output
Density of states at the Fermi level: 11.85 states/eV per cell
Calculated total energy: -4.3321 eV per atom
Formation energy from the elements: -0.044 eV/atom

Unit cell a=10.362 b=10.362 c=4.731 alpha=90.00 beta=90.00 gamma=90.00
Space group I4/mmm (No. 139)
Unique sites:
Sc  0.000  0.000  0.000 (multiplicity 2)
Pb  0.000  0.325  0.000 (multiplicity 8)
Pb  0.159  0.159  0.500 (multiplicity 8)

No. 4
This record from Alexandria describes an optimized crystal structure of Sc2Pb3. The functional is PBEsol.

Output
Density of states at the Fermi level: 3.84 states/eV per cell
Calculated total energy: -5.2776 eV per atom
Formation energy from the elements: -0.236 eV/atom

Unit cell a=5.0208 b=5.0208 c=6.1487 alpha=90.00 beta=90.00 gamma=120.00
Space group P-3m1 (No. 164)
Unique sites:
Sc  0.3333  0.6667  0.3710 (multiplicity 2)
Pb  0.0000  0.0000  0.5000 (multiplicity 1)
Pb  0.3333  0.6667  0.8736 (multiplicity 2)

No. 5
This record from Alexandria describes an optimized crystal structure of Sc2Pb. The functional is PBEsol.

Output
Density of states at the Fermi level: 13.75 states/eV per cell
Calculated total energy: -6.1348 eV per atom
Formation energy from the elements: -0.399 eV/atom

Unit cell a=7.8671 b=7.8671 c=3.9630 alpha=90.00 beta=90.00 gamma=120.00
Space group P-62m (No. 189)
Unique sites:
Sc  0.0000  0.2687  0.0000 (multiplicity 3)
Sc  0.0000  0.6052  0.5000 (multiplicity 3)
Pb  0.0000  0.0000  0.5000 (multiplicity 1)
Pb  0.3333  0.6667  0.0000 (multiplicity 2)

No. 6
This record from Alexandria describes an optimized crystal structure of Sc2PbSe. The functional is PBEsol.

Output
ΔE to the lowest computed polymorph: 0 meV per atom
Density of states at the Fermi level: 7.04 states/eV per cell
ΔE_f (raw): -1.0408 eV/atom
Calculated total energy: -6.3055 eV per atom

Unit cell a=3.6981 b=3.6981 c=22.3852 alpha=90.00 beta=90.00 gamma=120.00
Space group R-3m (No. 166, hexagonal axes)
Unique sites:
Sc  0.0000  0.0000  0.2362 (multiplicity 6)
Pb  0.0000  0.0000  0.0000 (multiplicity 3)
Se  0.0000  0.0000  0.5000 (multiplicity 3)

No. 7
This record from Alexandria describes an optimized crystal structure of Sc2PbSe. The functional is PBEsol.

Output
ΔE to the lowest computed polymorph: 317 meV per atom
Density of states at the Fermi level: 3.62 states/eV per cell
ΔE_f (raw): -0.7240 eV/atom
Calculated total energy: -5.9887 eV per atom

Unit cell a=5.092 b=5.092 c=3.333 alpha=90.00 beta=90.00 gamma=90.00
Space group P4/mmm (No. 123)
Unique sites:
Sc  0.000  0.500  0.000 (multiplicity 2)
Pb  0.000  0.000  0.500 (multiplicity 1)
Se  0.500  0.500  0.500 (multiplicity 1)

No. 8
This record from Alexandria describes an optimized crystal structure of Sc2PbSe. The functional is PBEsol.

Output
ΔE to the lowest computed polymorph: 56 meV per atom
Density of states at the Fermi level: 1.23 states/eV per cell
ΔE_f (raw): -0.9851 eV/atom
Calculated total energy: -6.2499 eV per atom

Unit cell a=4.014 b=4.014 c=5.657 alpha=90.00 beta=90.00 gamma=90.00
Space group P4/mmm (No. 123)
Unique sites:
Sc  0.000  0.000  0.000 (multiplicity 1)
Sc  0.500  0.500  0.500 (multiplicity 1)
Pb  0.000  0.000  0.500 (multiplicity 1)
Se  0.500  0.500  0.000 (multiplicity 1)